Entry 1:
# CaVB14 PBE-GGA optimized geometry
# ΔH_f (0 K) (eV per atom): -0.21
# Symmetry: No. 74
# N(E_F) (states/eV/atom): 0.24
data_CaVB14
_symmetry_space_group_name_H-M 'P 1'
_symmetry_Int_Tables_number 1
_cell_length_a 5.847
_cell_length_b 7.332
_cell_length_c 7.332
_cell_angle_alpha 68.26
_cell_angle_beta 66.50
_cell_angle_gamma 66.50
loop_
_symmetry_equiv_pos_as_xyz
'x,y,z'
loop_
_atom_site_label
_atom_site_type_symbol
_atom_site_fract_x
_atom_site_fract_y
_atom_site_fract_z
_atom_site_occupancy
Ca1 Ca 0.250 0.390 0.110 1
Ca2 Ca 0.750 0.610 0.890 1
V1 V 0.500 0.000 0.500 1
V2 V 0.000 0.000 0.500 1
B1 B 0.667 0.364 0.302 1
B2 B 0.333 0.636 0.698 1
B3 B 0.167 0.802 0.864 1
B4 B 0.833 0.198 0.136 1
B5 B 0.134 0.239 0.493 1
B6 B 0.866 0.761 0.507 1
B7 B 0.634 0.993 0.739 1
B8 B 0.366 0.007 0.261 1
B9 B 0.085 0.084 0.746 1
B10 B 0.915 0.916 0.254 1
B11 B 0.585 0.246 0.584 1
B12 B 0.415 0.754 0.416 1
B13 B 0.721 0.601 0.276 1
B14 B 0.598 0.399 0.724 1
B15 B 0.221 0.776 0.101 1
B16 B 0.098 0.224 0.899 1
B17 B 0.279 0.399 0.724 1
B18 B 0.402 0.601 0.276 1
B19 B 0.779 0.224 0.899 1
B20 B 0.902 0.776 0.101 1
B21 B 0.327 0.969 0.874 1
B22 B 0.169 0.031 0.126 1
B23 B 0.827 0.374 0.469 1
B24 B 0.669 0.626 0.531 1
B25 B 0.673 0.031 0.126 1
B26 B 0.831 0.969 0.874 1
B27 B 0.173 0.626 0.531 1
B28 B 0.331 0.374 0.469 1

Entry 2:
# CaVB2 PBE-GGA optimized geometry
# Offset from the most stable computed form (eV per atom): 0.0000
# ΔH_f (0 K) (eV per atom): 0.65
# Symmetry: No. 141
# N(E_F) (states/eV/atom): 0.81
data_CaVB2
_symmetry_space_group_name_H-M 'P 1'
_symmetry_Int_Tables_number 1
_cell_length_a 4.184
_cell_length_b 4.184
_cell_length_c 7.927
_cell_angle_alpha 74.70
_cell_angle_beta 74.70
_cell_angle_gamma 90.00
loop_
_symmetry_equiv_pos_as_xyz
'x,y,z'
loop_
_atom_site_label
_atom_site_type_symbol
_atom_site_fract_x
_atom_site_fract_y
_atom_site_fract_z
_atom_site_occupancy
Ca1 Ca 0.500 0.500 0.000 1
Ca2 Ca 0.250 0.750 0.500 1
B1 B 0.875 0.125 0.250 1
B2 B 0.875 0.625 0.250 1
B3 B 0.375 0.125 0.750 1
B4 B 0.875 0.125 0.750 1
V1 V 0.000 0.000 0.000 1
V2 V 0.750 0.250 0.500 1

Entry 3:
# CaVB2 PBE-GGA optimized geometry
# Offset from the most stable computed form (eV per atom): 0.1566
# ΔH_f (0 K) (eV per atom): 0.80
# Symmetry: No. 225
# N(E_F) (states/eV/atom): 0.80
data_CaVB2
_symmetry_space_group_name_H-M 'P 1'
_symmetry_Int_Tables_number 1
_cell_length_a 4.179
_cell_length_b 4.179
_cell_length_c 4.179
_cell_angle_alpha 60.00
_cell_angle_beta 60.00
_cell_angle_gamma 60.00
loop_
_symmetry_equiv_pos_as_xyz
'x,y,z'
loop_
_atom_site_label
_atom_site_type_symbol
_atom_site_fract_x
_atom_site_fract_y
_atom_site_fract_z
_atom_site_occupancy
Ca1 Ca 0.000 0.000 0.000 1
B1 B 0.250 0.250 0.250 1
B2 B 0.750 0.750 0.750 1
V1 V 0.500 0.500 0.500 1

Entry 4:
# CaV3B PBE-GGA optimized geometry
# Offset from the most stable computed form (eV per atom): 2.3645
# ΔH_f (0 K) (eV per atom): 2.83
# Symmetry: No. 221
# N(E_F) (states/eV/atom): 1.16
data_CaV3B
_symmetry_space_group_name_H-M 'P 1'
_symmetry_Int_Tables_number 1
_cell_length_a 4.223
_cell_length_b 4.223
_cell_length_c 4.223
_cell_angle_alpha 90.00
_cell_angle_beta 90.00
_cell_angle_gamma 90.00
loop_
_symmetry_equiv_pos_as_xyz
'x,y,z'
loop_
_atom_site_label
_atom_site_type_symbol
_atom_site_fract_x
_atom_site_fract_y
_atom_site_fract_z
_atom_site_occupancy
Ca1 Ca 0.000 0.000 0.000 1
B1 B 0.500 0.500 0.500 1
V1 V 0.000 0.500 0.000 1
V2 V 0.000 0.000 0.500 1
V3 V 0.500 0.000 0.000 1

Entry 5:
# CaV3B PBE-GGA optimized geometry
# Offset from the most stable computed form (eV per atom): 0.0000
# ΔH_f (0 K) (eV per atom): 0.47
# Symmetry: No. 221
# N(E_F) (states/eV/atom): 1.29
data_CaV3B
_symmetry_space_group_name_H-M 'P 1'
_symmetry_Int_Tables_number 1
_cell_length_a 4.272
_cell_length_b 4.272
_cell_length_c 4.272
_cell_angle_alpha 90.00
_cell_angle_beta 90.00
_cell_angle_gamma 90.00
loop_
_symmetry_equiv_pos_as_xyz
'x,y,z'
loop_
_atom_site_label
_atom_site_type_symbol
_atom_site_fract_x
_atom_site_fract_y
_atom_site_fract_z
_atom_site_occupancy
Ca1 Ca 0.500 0.500 0.500 1
B1 B 0.000 0.000 0.000 1
V1 V 0.000 0.500 0.000 1
V2 V 0.000 0.000 0.500 1
V3 V 0.500 0.000 0.000 1

Entry 6:
# Ca2VBW PBE-GGA optimized geometry
# ΔH_f (0 K) (eV per atom): 1.72
# Symmetry: No. 123
# N(E_F) (states/eV/atom): 1.60
data_Ca2VBW
_symmetry_space_group_name_H-M 'P 1'
_symmetry_Int_Tables_number 1
_cell_length_a 5.685
_cell_length_b 4.089
_cell_length_c 5.685
_cell_angle_alpha 90.00
_cell_angle_beta 90.00
_cell_angle_gamma 90.00
loop_
_symmetry_equiv_pos_as_xyz
'x,y,z'
loop_
_atom_site_label
_atom_site_type_symbol
_atom_site_fract_x
_atom_site_fract_y
_atom_site_fract_z
_atom_site_occupancy
Ca1 Ca 0.000 0.000 0.500 1
Ca2 Ca 0.500 0.000 0.000 1
B1 B 0.000 0.500 0.000 1
W1 W 0.000 0.000 0.000 1
V1 V 0.500 0.500 0.500 1